A plane-wave DFT calculation with GGA-PBE was carried out for crystalline Hg3S2F at its relaxed geometry.

Results
Calculated total energy: -26.295 eV for the cell shown
Magnetization: 0.000 μB/cell
Density of states at the Fermi level: 0.24 states/eV per atom
E_form (uncorrected): -204 kJ/mol of formula units

Cell lengths 4.3027, 12.4386, 5.8356 Å; angles 90.00, 90.00, 90.00 degrees
Space group Imm2 (No. 44)
One atom of each set of equivalent atoms:
Hg1 0.0000 0.0000 0.0000 (multiplicity 2)
Hg2 0.0000 0.3217 0.0537 (multiplicity 4)
S1 0.0000 0.1577 0.3226 (multiplicity 4)
F1 0.0000 0.5000 0.2724 (multiplicity 2)